Entry 1:
A relaxed CrNi2Rh crystal, computed with GGA-PBEsol.

Results
- E (eV/atom) = -7.7196
- size of the total moment (μB per formula unit) = 0.83
- space-group type = I-4m2
- formation energy from the elements (eV per atom) = -0.05

Unit cell a=3.5627 b=3.5627 c=4.3850 alpha=113.97 beta=113.97 gamma=90.00
With the nearest neighbours (Å) after each atom.
Atoms (fractional coordinates):
Ni: 0.0000 0.0000 0.0000  4 Rh 2.52, 4 Cr 2.53, 4 Ni 2.53
Ni: 0.7500 0.2500 0.5000  4 Cr 2.52, 4 Ni 2.53, 4 Rh 2.53
Cr: 0.2500 0.7500 0.5000  8 Ni 2.52-2.53, 4 Rh 2.53
Rh: 0.5000 0.5000 0.0000  8 Ni 2.52-2.53, 4 Cr 2.53


Entry 2:
A relaxed Ta2BeSi crystal, computed with GGA-PBEsol.

Results
- E (eV/atom) = -8.6817
- size of the total moment (μB per formula unit) = 0.00
- space-group type = Fm-3m
- uncorrected formation energy (eV/atom) = 0.030
- excess energy over the best structure of this formula in the dataset (meV/atom) = 600

Unit cell a=4.3134 b=4.3134 c=4.3134 alpha=60.00 beta=60.00 gamma=60.00
With the nearest neighbours (Å) after each atom.
Atoms (fractional coordinates):
Si: 0.5000 0.5000 0.5000  8 Ta 2.64
Ta: 0.2500 0.2500 0.2500  4 Be 2.64, 4 Si 2.64
Ta: 0.7500 0.7500 0.7500  4 Be 2.64, 4 Si 2.64
Be: 0.0000 0.0000 0.0000  8 Ta 2.64


Entry 3:
A relaxed Cd3OsPd crystal, computed with GGA-PBEsol.

Results
- E (eV/atom) = -3.0053
- size of the total moment (μB per formula unit) = 2.26
- space-group type = Pm-3m
- formation energy from the elements (eV per atom) = 1.35

Unit cell a=4.8889 b=4.8889 c=4.8889 alpha=90.00 beta=90.00 gamma=90.00
With the nearest neighbours (Å) after each atom.
Atoms (fractional coordinates):
Cd: 0.0000 0.0000 0.5000  2 Pd 2.44
Cd: 0.0000 0.5000 0.0000  2 Pd 2.44
Cd: 0.5000 0.0000 0.0000  2 Pd 2.44
Pd: 0.0000 0.0000 0.0000  6 Cd 2.44
Os: 0.5000 0.5000 0.5000  12 Cd 3.46


Entry 4:
A relaxed LiCrFe2 crystal, computed with GGA-PBEsol.

Results
- E (eV/atom) = -7.1992
- size of the total moment (μB per formula unit) = 1.16
- space-group type = Immm
- excess energy over the best structure of this formula in the dataset (meV/atom) = 0
- formation energy from the elements (eV per atom) = 0.33

Unit cell a=2.8376 b=3.9980 c=4.4861 alpha=116.46 beta=108.44 gamma=90.00
With the nearest neighbours (Å) after each atom.
Atoms (fractional coordinates):
Li: 0.5000 0.0000 0.0000  8 Fe 2.42-2.68, 4 Cr 2.45
Fe: 0.2616 0.2616 0.5232  2 Cr 2.29, 2 Li 2.42, 4 Fe 2.46
Fe: 0.7384 0.7384 0.4768  2 Cr 2.29, 2 Li 2.42, 4 Fe 2.46
Cr: 0.0000 0.5000 0.0000  4 Fe 2.29, 4 Li 2.45


Entry 5:
A relaxed Nb3CrCu crystal, computed with GGA-PBEsol.

Results
- E (eV/atom) = -7.9698
- size of the total moment (μB per formula unit) = 2.94
- space-group type = Pm-3m
- formation energy from the elements (eV per atom) = 1.44

Unit cell a=4.6107 b=4.6107 c=4.6107 alpha=90.00 beta=90.00 gamma=90.00
With the nearest neighbours (Å) after each atom.
Atoms (fractional coordinates):
Cu: 0.0000 0.0000 0.0000  6 Nb 2.31
Nb: 0.0000 0.5000 0.0000  2 Cu 2.31
Nb: 0.5000 0.0000 0.0000  2 Cu 2.31
Nb: 0.0000 0.0000 0.5000  2 Cu 2.31
Cr: 0.5000 0.5000 0.5000  12 Nb 3.26


Entry 6:
A relaxed CrSb2Pt crystal, computed with GGA-PBEsol.

Results
- E (eV/atom) = -6.4128
- size of the total moment (μB per formula unit) = 3.42
- space-group type = I-42d
- uncorrected formation energy (eV/atom) = 0.167
- excess energy over the best structure of this formula in the dataset (meV/atom) = 0

Unit cell a=4.4784 b=4.4784 c=9.0578 alpha=104.31 beta=104.31 gamma=90.00
With the nearest neighbours (Å) after each atom.
Atoms (fractional coordinates):
Sb: 0.8772 0.3750 0.2500  2 Pt 2.64, 2 Cr 2.65
Sb: 0.3728 0.8750 0.2500  2 Pt 2.64, 2 Cr 2.65
Sb: 0.1250 0.1228 0.7500  2 Pt 2.64, 2 Cr 2.65
Sb: 0.6250 0.6272 0.7500  2 Pt 2.64, 2 Cr 2.65
Cr: 0.5000 0.5000 0.0000  4 Sb 2.65
Cr: 0.7500 0.2500 0.5000  4 Sb 2.65
Pt: 0.0000 0.0000 0.0000  4 Sb 2.64
Pt: 0.2500 0.7500 0.5000  4 Sb 2.64


Entry 7:
A relaxed Mg5Ir3 crystal, computed with GGA-PBEsol.

Results
- E (eV/atom) = -4.9746
- size of the total moment (μB per formula unit) = 0.00
- space-group type = Cmmm
- formation energy from the elements (eV per atom) = -0.22

Unit cell a=4.4358 b=5.4403 c=5.4403 alpha=108.70 beta=90.00 gamma=90.00
With the nearest neighbours (Å) after each atom.
Atoms (fractional coordinates):
Mg: 0.5000 0.7284 0.7284  6 Ir 2.65-2.73, 3 Mg 2.81-2.90
Mg: 0.0000 0.0000 0.5000  6 Ir 2.72-2.73, 2 Mg 2.72
Mg: 0.0000 0.0000 0.0000  8 Mg 2.72-2.81
Mg: 0.5000 0.2716 0.2716  6 Ir 2.65-2.73, 3 Mg 2.81-2.90
Mg: 0.0000 0.5000 0.0000  2 Mg 2.72, 6 Ir 2.72-2.73
Ir: 0.5000 0.2401 0.7599  8 Mg 2.72-2.73
Ir: 0.5000 0.7599 0.2401  8 Mg 2.72-2.73
Ir: 0.0000 0.5000 0.5000  8 Mg 2.65-2.72


Entry 8:
A relaxed Cs2HPb crystal, computed with GGA-PBEsol.

Results
- E (eV/atom) = -2.2175
- size of the total moment (μB per formula unit) = 0.16
- space-group type = I-42d

Unit cell a=8.7881 b=8.7881 c=8.7881 alpha=148.82 beta=94.14 gamma=94.14
With the nearest neighbours (Å) after each atom.
Atoms (fractional coordinates):
Cs: 0.8374 0.4624 0.1250  2 H 3.23
Cs: 0.6626 0.3750 0.5376  2 H 3.23
Cs: 0.3374 0.8750 0.7124  2 H 3.23
Cs: 0.1626 0.2876 0.6250  2 H 3.23
H: 0.5000 0.2500 0.7500  2 Pb 2.36
H: 0.0000 0.5000 0.5000  2 Pb 2.36
Pb: 0.0000 0.0000 0.0000  2 H 2.36
Pb: 0.5000 0.7500 0.2500  2 H 2.36